Record 1
KZr2InTc | GGA-PBE | relaxed

Summary:
For the formation energy, the calculation gives 1078 kJ/mol of formula units. As for the total energy: -4.026 eV per atom. Its size of the total moment is 2.188 μB/cell.

Cell: 4.772 5.323 4.772 Å, 90.00 90.00 90.00°
Last column: magnetic moment on the atom in μB.
Sites, in units of the cell vectors:
Zr 0.500 0.000 0.000  -0.17
Tc 0.500 0.500 0.500  2.48
In 0.000 0.500 0.000  -0.05
K 0.000 0.000 0.000  -0.02
Zr 0.000 0.000 0.500  -0.11

---

Record 2
KIn4Te7 | GGA-PBE | relaxed

Summary:
As for the total energy: -3.216 eV per atom. Its size of the total moment is 0.000 μB/cell. The formation energy without anion corrections comes out at -379 meV/atom.

Cell: 7.218 7.334 17.397 Å, 90.00 90.00 90.00°
Sites, in units of the cell vectors:
Te 0.469 0.301 0.894
In 0.605 0.662 0.120
Te 0.489 0.801 0.733
In 0.605 0.662 0.880
K 0.423 0.860 0.500
Te 0.989 0.199 0.767
Te 0.469 0.301 0.106
Te 0.994 0.675 0.106
In 0.590 0.178 0.750
In 0.105 0.338 0.380
Te 0.489 0.801 0.267
In 0.090 0.822 0.750
Te 0.494 0.325 0.606
In 0.590 0.178 0.250
Te 0.994 0.675 0.894
Te 0.938 0.133 0.500
Te 0.969 0.699 0.394
K 0.923 0.140 0.000
Te 0.989 0.199 0.233
Te 0.969 0.699 0.606
In 0.105 0.338 0.620
Te 0.438 0.867 0.000
Te 0.494 0.325 0.394
In 0.090 0.822 0.250